Entry from Alexandria: crystalline LiZrSn2 at its relaxed geometry (PBE).

Computed properties:
Formation enthalpy at 0 K in meV per atom: -320
DFT total energy in eV/atom: -4.937
Space group: No. 166

Cell and atoms, written as CIF:
```
data_LiZrSn2
_cell_length_a 9.8744
_cell_length_b 9.8744
_cell_length_c 9.8744
_cell_angle_alpha 19.11
_cell_angle_beta 19.11
_cell_angle_gamma 19.11
_symmetry_space_group_name_H-M 'P 1'
_symmetry_Int_Tables_number 1
loop_
_symmetry_equiv_pos_as_xyz
'x,y,z'
loop_
_atom_site_label
_atom_site_fract_x
_atom_site_fract_y
_atom_site_fract_z
Li1 0.0000 0.0000 0.0000
Zr1 0.5000 0.5000 0.5000
Sn1 0.2529 0.2529 0.2529
Sn2 0.7471 0.7471 0.7471
```